# ZrPa3F

An optimized crystal structure of ZrPa3F (GGA-PBE, OQMD via LeMat-Bulk).

Cell: 4.839 4.839 4.839 Å, 90.00 90.00 90.00°
Fractional positions:
Zr (0.500, 0.500, 0.500)
Pa (0.000, 0.500, 0.000)
Pa (0.500, 0.000, 0.000)
Pa (0.000, 0.000, 0.500)
F (0.000, 0.000, 0.000)

Summary:
E (eV per atom): -8.150

---

# PuThMo

An optimized crystal structure of PuThMo (GGA-PBE, OQMD via LeMat-Bulk).

Cell: 4.866 4.866 4.866 Å, 60.00 60.00 60.00°
Fractional positions:
Mo (0.000, 0.000, 0.000)
Th (0.750, 0.750, 0.750)
Pu (0.250, 0.250, 0.250)

Summary:
ΔH_f (0 K) (eV/f.u.): 1.39
Energy above the most stable polymorph in this dataset (meV/atom): 0

---

# ScBeMo2

An optimized crystal structure of ScBeMo2 (GGA-PBE, OQMD via LeMat-Bulk).

Cell: 4.434 4.434 4.434 Å, 60.00 60.00 60.00°
Fractional positions:
Be (0.500, 0.500, 0.500)
Sc (0.250, 0.250, 0.250)
Mo (0.750, 0.750, 0.750)
Mo (0.000, 0.000, 0.000)

Summary:
E (eV per atom): -7.849

---

# Sm4GaPC2

An optimized crystal structure of Sm4GaPC2 (GGA-PBE, OQMD via LeMat-Bulk).

Cell: 3.786 3.786 14.391 Å, 90.00 90.00 120.00°
Last column: magnetic moment on the atom in μB.
Fractional positions:
Ga (0.000, 0.000, 0.000)  0.17
C (0.333, 0.667, 0.259)  0.01
C (0.333, 0.667, 0.741)  0.01
Sm (0.667, 0.333, 0.171)  0.08
Sm (0.000, 0.000, 0.368)  0.02
Sm (0.667, 0.333, 0.829)  0.08
Sm (0.000, 0.000, 0.632)  0.02
P (0.667, 0.333, 0.500)  -0.02

Summary:
E (eV per atom): -6.122

---

# ErZnB

An optimized crystal structure of ErZnB (GGA-PBE, OQMD via LeMat-Bulk).

Cell: 4.173 4.173 4.173 Å, 60.00 60.00 60.00°
Fractional positions:
B (0.250, 0.250, 0.250)
Zn (0.000, 0.000, 0.000)
Er (0.750, 0.750, 0.750)

Summary:
Energy above the most stable polymorph in this dataset (meV/atom): 555

---

# NaTa3Ge5

An optimized crystal structure of NaTa3Ge5 (GGA-PBE, OQMD via LeMat-Bulk).

Cell: 5.635 5.635 6.691 Å, 90.00 90.00 120.00°
Fractional positions:
Ge (0.667, 0.333, 0.817)
Ge (0.333, 0.667, 0.183)
Ge (0.333, 0.667, 0.817)
Ge (0.667, 0.333, 0.183)
Ge (0.000, 0.000, 0.500)
Ta (0.000, 0.500, 0.500)
Ta (0.500, 0.500, 0.500)
Ta (0.500, 0.000, 0.500)
Na (0.000, 0.000, 0.000)

Summary:
E (eV per atom): -6.692